No. 1
# PBE ReMo, relaxed
data_ReMo
_space_group_name_H-M_alt 'P 4/m c c'
_space_group_IT_number 124
_space_group_name_Hall '-P 4 2c'
_cell_length_a 7.550
_cell_length_b 7.550
_cell_length_c 4.672
_cell_angle_alpha 90.00
_cell_angle_beta 90.00
_cell_angle_gamma 90.00
loop_
_atom_site_label
_atom_site_fract_x
_atom_site_fract_y
_atom_site_fract_z
Re1 0.085 0.237 0.000
Mo1 0.219 0.438 0.500
# Magnetic moment = 0.0 μB per cell
# N(E_F) = 15.66 states/eV per cell
# Calculated formation energy = 0.52 eV/atom
# Relative energy among the computed polymorphs = 432 meV per atom
# ρ = 14.075 g/cm³

---

No. 2
# PBE CrMoCl2, relaxed
data_CrMoCl2
_space_group_name_H-M_alt 'I m m m'
_space_group_IT_number 71
_space_group_name_Hall '-I 2 2'
_cell_length_a 3.124
_cell_length_b 4.224
_cell_length_c 14.173
_cell_angle_alpha 90.00
_cell_angle_beta 90.00
_cell_angle_gamma 90.00
loop_
_atom_site_label
_atom_site_fract_x
_atom_site_fract_y
_atom_site_fract_z
Cr1 0.000 0.000 0.000
Mo1 0.000 0.000 0.500
Cl1 0.000 0.500 0.137
# Magnetic moment = 4.7 μB per cell
# Formation energy (no corrections) = -5 meV/atom
# N(E_F) = 3.69 states/eV per cell
# Relative energy among the computed polymorphs = 220 meV per atom
# ρ = 3.886 g/cm³

---

No. 3
# PBE Rb3LiTc, relaxed
data_Rb3LiTc
_space_group_name_H-M_alt 'P m -3 m'
_space_group_IT_number 221
_space_group_name_Hall '-P 4 2 3'
_cell_length_a 6.821
_cell_length_b 6.821
_cell_length_c 6.821
_cell_angle_alpha 90.00
_cell_angle_beta 90.00
_cell_angle_gamma 90.00
loop_
_atom_site_label
_atom_site_fract_x
_atom_site_fract_y
_atom_site_fract_z
Rb1 0.000 0.000 0.500
Li1 0.000 0.000 0.000
Tc1 0.500 0.500 0.500
# Magnetic moment = 3.9 μB per cell
# N(E_F) = 13.86 states/eV per cell
# Calculated formation energy = 1.28 eV/atom
# Relative energy among the computed polymorphs = 0 meV per atom
# ρ = 1.891 g/cm³